No. 1
First-principles (PBE) data for a geometry-optimized NaGdHg2 structure, as listed in Alexandria.

Calculated values
- Space group: R-3m, No. 166
- E_tot: -16.90 eV per formula unit

a = 9.556 Å, b = 9.556 Å, c = 9.556 Å
α = 22.66°, β = 22.66°, γ = 22.66°
Atoms (fractional coordinates):
Na1 0.000 0.000 0.000
Gd1 0.500 0.500 0.500
Hg1 0.249 0.249 0.249
Hg2 0.751 0.751 0.751



No. 2
First-principles (PBE) data for a geometry-optimized NaGdHg2 structure, as listed in Alexandria.

Calculated values
- Space group: Fm-3m, No. 225
- E_tot: -17.39 eV per formula unit

a = 5.217 Å, b = 5.217 Å, c = 5.217 Å
α = 60.00°, β = 60.00°, γ = 60.00°
Atoms (fractional coordinates):
Na1 0.000 0.000 0.000
Gd1 0.500 0.500 0.500
Hg1 0.250 0.250 0.250
Hg2 0.750 0.750 0.750



No. 3
First-principles (PBE) data for a geometry-optimized NaGdHg2 structure, as listed in Alexandria.

Calculated values
- Space group: P4/mmm, No. 123
- E_tot: -17.44 eV per formula unit

a = 5.368 Å, b = 5.368 Å, c = 3.579 Å
α = 90.00°, β = 90.00°, γ = 90.00°
Atoms (fractional coordinates):
Na1 0.000 0.000 0.000
Gd1 0.500 0.500 0.000
Hg1 0.000 0.500 0.500
Hg2 0.500 0.000 0.500



No. 4
First-principles (PBE) data for a geometry-optimized Na2GdHg structure, as listed in Alexandria.

Calculated values
- Space group: R-3m, No. 166
- E_tot: -16.62 eV per formula unit

a = 12.056 Å, b = 12.056 Å, c = 12.056 Å
α = 16.45°, β = 16.45°, γ = 16.45°
Atoms (fractional coordinates):
Na1 0.095 0.095 0.095
Na2 0.905 0.905 0.905
Gd1 0.000 0.000 0.000
Hg1 0.500 0.500 0.500



No. 5
First-principles (PBE) data for a geometry-optimized NaGdHgPb structure, as listed in Alexandria.

Calculated values
- Space group: F-43m, No. 216
- E_tot: -20.96 eV per formula unit

a = 5.343 Å, b = 5.343 Å, c = 5.343 Å
α = 60.00°, β = 60.00°, γ = 60.00°
Atoms (fractional coordinates):
Na1 0.000 0.000 0.000
Gd1 0.500 0.500 0.500
Hg1 0.750 0.750 0.750
Pb1 0.250 0.250 0.250



No. 6
First-principles (PBE) data for a geometry-optimized NaGdHgPd structure, as listed in Alexandria.

Calculated values
- Space group: F-43m, No. 216
- E_tot: -22.43 eV per formula unit

a = 5.052 Å, b = 5.052 Å, c = 5.052 Å
α = 60.00°, β = 60.00°, γ = 60.00°
Atoms (fractional coordinates):
Na1 0.000 0.000 0.000
Gd1 0.500 0.500 0.500
Hg1 0.750 0.750 0.750
Pd1 0.250 0.250 0.250



No. 7
First-principles (PBE) data for a geometry-optimized NaPmGdHg structure, as listed in Alexandria.

Calculated values
- Space group: F-43m, No. 216
- E_tot: -20.79 eV per formula unit

a = 5.429 Å, b = 5.429 Å, c = 5.429 Å
α = 60.00°, β = 60.00°, γ = 60.00°
Atoms (fractional coordinates):
Na1 0.000 0.000 0.000
Pm1 0.750 0.750 0.750
Gd1 0.250 0.250 0.250
Hg1 0.500 0.500 0.500



No. 8
First-principles (PBE) data for a geometry-optimized NaPrGdHg structure, as listed in Alexandria.

Calculated values
- Space group: F-43m, No. 216
- E_tot: -20.85 eV per formula unit

a = 5.469 Å, b = 5.469 Å, c = 5.469 Å
α = 60.00°, β = 60.00°, γ = 60.00°
Atoms (fractional coordinates):
Na1 0.000 0.000 0.000
Pr1 0.750 0.750 0.750
Gd1 0.250 0.250 0.250
Hg1 0.500 0.500 0.500



No. 9
First-principles (PBE) data for a geometry-optimized NaSmGdHg structure, as listed in Alexandria.

Calculated values
- Space group: F-43m, No. 216
- E_tot: -20.74 eV per formula unit

a = 5.416 Å, b = 5.416 Å, c = 5.416 Å
α = 60.00°, β = 60.00°, γ = 60.00°
Atoms (fractional coordinates):
Na1 0.000 0.000 0.000
Sm1 0.250 0.250 0.250
Gd1 0.750 0.750 0.750
Hg1 0.500 0.500 0.500



No. 10
First-principles (PBE) data for a geometry-optimized NaGdSnHg structure, as listed in Alexandria.

Calculated values
- Space group: F-43m, No. 216
- E_tot: -21.51 eV per formula unit

a = 5.292 Å, b = 5.292 Å, c = 5.292 Å
α = 60.00°, β = 60.00°, γ = 60.00°
Atoms (fractional coordinates):
Na1 0.000 0.000 0.000
Gd1 0.500 0.500 0.500
Sn1 0.250 0.250 0.250
Hg1 0.750 0.750 0.750



No. 11
First-principles (PBE) data for a geometry-optimized NaSrGdHg structure, as listed in Alexandria.

Calculated values
- Space group: F-43m, No. 216
- E_tot: -17.75 eV per formula unit

a = 5.619 Å, b = 5.619 Å, c = 5.619 Å
α = 60.00°, β = 60.00°, γ = 60.00°
Atoms (fractional coordinates):
Na1 0.000 0.000 0.000
Sr1 0.250 0.250 0.250
Gd1 0.750 0.750 0.750
Hg1 0.500 0.500 0.500



No. 12
First-principles (PBE) data for a geometry-optimized NaTbGdHg structure, as listed in Alexandria.

Calculated values
- Space group: F-43m, No. 216
- E_tot: -20.61 eV per formula unit

a = 5.375 Å, b = 5.375 Å, c = 5.375 Å
α = 60.00°, β = 60.00°, γ = 60.00°
Atoms (fractional coordinates):
Na1 0.000 0.000 0.000
Tb1 0.750 0.750 0.750
Gd1 0.250 0.250 0.250
Hg1 0.500 0.500 0.500



No. 13
First-principles (PBE) data for a geometry-optimized NaGdTmHg structure, as listed in Alexandria.

Calculated values
- Space group: F-43m, No. 216
- E_tot: -20.38 eV per formula unit

a = 5.336 Å, b = 5.336 Å, c = 5.336 Å
α = 60.00°, β = 60.00°, γ = 60.00°
Atoms (fractional coordinates):
Na1 0.000 0.000 0.000
Gd1 0.750 0.750 0.750
Tm1 0.250 0.250 0.250
Hg1 0.500 0.500 0.500



No. 14
First-principles (PBE) data for a geometry-optimized NaGdYHg structure, as listed in Alexandria.

Calculated values
- Space group: F-43m, No. 216
- E_tot: -22.49 eV per formula unit

a = 5.373 Å, b = 5.373 Å, c = 5.373 Å
α = 60.00°, β = 60.00°, γ = 60.00°
Atoms (fractional coordinates):
Na1 0.000 0.000 0.000
Gd1 0.750 0.750 0.750
Y1 0.250 0.250 0.250
Hg1 0.500 0.500 0.500



No. 15
First-principles (PBE) data for a geometry-optimized NaGdZnHg structure, as listed in Alexandria.

Calculated values
- Space group: F-43m, No. 216
- E_tot: -17.82 eV per formula unit

a = 5.122 Å, b = 5.122 Å, c = 5.122 Å
α = 60.00°, β = 60.00°, γ = 60.00°
Atoms (fractional coordinates):
Na1 0.000 0.000 0.000
Gd1 0.500 0.500 0.500
Zn1 0.750 0.750 0.750
Hg1 0.250 0.250 0.250



No. 16
First-principles (PBE) data for a geometry-optimized Nd2GdHg structure, as listed in Alexandria.

Calculated values
- Space group: P4/mmm, No. 123
- Relative energy among the computed polymorphs: 0.000 eV per atom

a = 3.747 Å, b = 3.747 Å, c = 8.865 Å
α = 90.00°, β = 90.00°, γ = 90.00°
Atoms (fractional coordinates):
Nd1 0.000 0.000 0.223
Nd2 0.000 0.000 0.777
Gd1 0.500 0.500 0.500
Hg1 0.500 0.500 0.000



No. 17
First-principles (PBE) data for a geometry-optimized Nd2GdHg structure, as listed in Alexandria.

Calculated values
- Space group: Fm-3m, No. 225
- Relative energy among the computed polymorphs: 0.125 eV per atom

a = 5.527 Å, b = 5.527 Å, c = 5.527 Å
α = 60.00°, β = 60.00°, γ = 60.00°
Atoms (fractional coordinates):
Nd1 0.250 0.250 0.250
Nd2 0.750 0.750 0.750
Gd1 0.000 0.000 0.000
Hg1 0.500 0.500 0.500



No. 18
First-principles (PBE) data for a geometry-optimized Nd2GdHg structure, as listed in Alexandria.

Calculated values
- Space group: R-3m, No. 166
- Relative energy among the computed polymorphs: 0.083 eV per atom

a = 11.097 Å, b = 11.097 Å, c = 11.097 Å
α = 19.14°, β = 19.14°, γ = 19.14°
Atoms (fractional coordinates):
Nd1 0.243 0.243 0.243
Nd2 0.757 0.757 0.757
Gd1 0.000 0.000 0.000
Hg1 0.500 0.500 0.500



No. 19
First-principles (PBE) data for a geometry-optimized Nd2GdHg structure, as listed in Alexandria.

Calculated values
- Space group: P4/mmm, No. 123
- Relative energy among the computed polymorphs: 0.055 eV per atom

a = 5.618 Å, b = 5.618 Å, c = 3.805 Å
α = 90.00°, β = 90.00°, γ = 90.00°
Atoms (fractional coordinates):
Nd1 0.000 0.500 0.000
Nd2 0.500 0.000 0.000
Gd1 0.000 0.000 0.500
Hg1 0.500 0.500 0.500



No. 20
First-principles (PBE) data for a geometry-optimized NdGd2Hg structure, as listed in Alexandria.

Calculated values
- Space group: P4/mmm, No. 123
- Relative energy among the computed polymorphs: 0.000 eV per atom

a = 3.666 Å, b = 3.666 Å, c = 9.004 Å
α = 90.00°, β = 90.00°, γ = 90.00°
Atoms (fractional coordinates):
Nd1 0.000 0.000 0.000
Gd1 0.500 0.500 0.282
Gd2 0.500 0.500 0.718
Hg1 0.000 0.000 0.500



No. 21
First-principles (PBE) data for a geometry-optimized NdGd2Hg structure, as listed in Alexandria.

Calculated values
- Space group: P4/mmm, No. 123
- Relative energy among the computed polymorphs: 0.057 eV per atom

a = 4.875 Å, b = 4.875 Å, c = 4.905 Å
α = 90.00°, β = 90.00°, γ = 90.00°
Atoms (fractional coordinates):
Nd1 0.000 0.000 0.000
Gd1 0.000 0.500 0.500
Gd2 0.500 0.000 0.500
Hg1 0.500 0.500 0.000



No. 22
First-principles (PBE) data for a geometry-optimized NdGd2Hg structure, as listed in Alexandria.

Calculated values
- Space group: Fm-3m, No. 225
- Relative energy among the computed polymorphs: 0.157 eV per atom

a = 5.453 Å, b = 5.453 Å, c = 5.453 Å
α = 60.00°, β = 60.00°, γ = 60.00°
Atoms (fractional coordinates):
Nd1 0.000 0.000 0.000
Gd1 0.250 0.250 0.250
Gd2 0.750 0.750 0.750
Hg1 0.500 0.500 0.500



No. 23
First-principles (PBE) data for a geometry-optimized NdGdHgOs structure, as listed in Alexandria.

Calculated values
- Space group: F-43m, No. 216
- E_tot: -31.04 eV per formula unit

a = 5.122 Å, b = 5.122 Å, c = 5.122 Å
α = 60.00°, β = 60.00°, γ = 60.00°
Atoms (fractional coordinates):
Nd1 0.000 0.000 0.000
Gd1 0.500 0.500 0.500
Hg1 0.250 0.250 0.250
Os1 0.750 0.750 0.750



No. 24
First-principles (PBE) data for a geometry-optimized NdGdHgPb structure, as listed in Alexandria.

Calculated values
- Space group: F-43m, No. 216
- E_tot: -24.85 eV per formula unit

a = 5.449 Å, b = 5.449 Å, c = 5.449 Å
α = 60.00°, β = 60.00°, γ = 60.00°
Atoms (fractional coordinates):
Nd1 0.000 0.000 0.000
Gd1 0.500 0.500 0.500
Hg1 0.750 0.750 0.750
Pb1 0.250 0.250 0.250



No. 25
First-principles (PBE) data for a geometry-optimized NdGdHgPd structure, as listed in Alexandria.

Calculated values
- Space group: F-43m, No. 216
- E_tot: -26.72 eV per formula unit

a = 5.223 Å, b = 5.223 Å, c = 5.223 Å
α = 60.00°, β = 60.00°, γ = 60.00°
Atoms (fractional coordinates):
Nd1 0.000 0.000 0.000
Gd1 0.500 0.500 0.500
Hg1 0.750 0.750 0.750
Pd1 0.250 0.250 0.250



No. 26
First-principles (PBE) data for a geometry-optimized NdGdHgPt structure, as listed in Alexandria.

Calculated values
- Space group: F-43m, No. 216
- E_tot: -28.19 eV per formula unit

a = 5.198 Å, b = 5.198 Å, c = 5.198 Å
α = 60.00°, β = 60.00°, γ = 60.00°
Atoms (fractional coordinates):
Nd1 0.000 0.000 0.000
Gd1 0.500 0.500 0.500
Hg1 0.750 0.750 0.750
Pt1 0.250 0.250 0.250



No. 27
First-principles (PBE) data for a geometry-optimized NdGdHgSb structure, as listed in Alexandria.

Calculated values
- Space group: F-43m, No. 216
- E_tot: -25.94 eV per formula unit

a = 5.402 Å, b = 5.402 Å, c = 5.402 Å
α = 60.00°, β = 60.00°, γ = 60.00°
Atoms (fractional coordinates):
Nd1 0.000 0.000 0.000
Gd1 0.500 0.500 0.500
Hg1 0.250 0.250 0.250
Sb1 0.750 0.750 0.750



No. 28
First-principles (PBE) data for a geometry-optimized NdGdScHg structure, as listed in Alexandria.

Calculated values
- Space group: F-43m, No. 216
- E_tot: -25.86 eV per formula unit

a = 5.395 Å, b = 5.395 Å, c = 5.395 Å
α = 60.00°, β = 60.00°, γ = 60.00°
Atoms (fractional coordinates):
Nd1 0.000 0.000 0.000
Gd1 0.500 0.500 0.500
Sc1 0.250 0.250 0.250
Hg1 0.750 0.750 0.750



No. 29
First-principles (PBE) data for a geometry-optimized NdSmGdHg structure, as listed in Alexandria.

Calculated values
- Space group: F-43m, No. 216
- E_tot: -24.22 eV per formula unit

a = 5.501 Å, b = 5.501 Å, c = 5.501 Å
α = 60.00°, β = 60.00°, γ = 60.00°
Atoms (fractional coordinates):
Nd1 0.000 0.000 0.000
Sm1 0.500 0.500 0.500
Gd1 0.750 0.750 0.750
Hg1 0.250 0.250 0.250



No. 30
First-principles (PBE) data for a geometry-optimized NdGdSnHg structure, as listed in Alexandria.

Calculated values
- Space group: F-43m, No. 216
- E_tot: -25.54 eV per formula unit

a = 5.399 Å, b = 5.399 Å, c = 5.399 Å
α = 60.00°, β = 60.00°, γ = 60.00°
Atoms (fractional coordinates):
Nd1 0.000 0.000 0.000
Gd1 0.500 0.500 0.500
Sn1 0.250 0.250 0.250
Hg1 0.750 0.750 0.750



No. 31
First-principles (PBE) data for a geometry-optimized TbNdGdHg structure, as listed in Alexandria.

Calculated values
- Space group: F-43m, No. 216
- E_tot: -24.06 eV per formula unit

a = 5.489 Å, b = 5.489 Å, c = 5.489 Å
α = 60.00°, β = 60.00°, γ = 60.00°
Atoms (fractional coordinates):
Tb1 0.000 0.000 0.000
Nd1 0.250 0.250 0.250
Gd1 0.750 0.750 0.750
Hg1 0.500 0.500 0.500